NiSO2 after structural relaxation, computed with GGA+U.

The value obtained for the total energy is -19.37 eV per formula unit. The crystal system is triclinic.

Cell: 4.2821 5.0104 5.1460 Å, 89.67 72.89 73.92°
Fractional positions:
Ni1 0.0000 0.0000 0.0000
Ni2 0.4328 0.5002 0.5787
S1 0.4414 0.3619 0.1552
S2 0.6794 0.8572 0.5027
O1 0.1243 0.2515 0.2303
O2 0.3764 0.6094 0.9677
O3 0.3787 0.1128 0.6711
O4 0.9366 0.7902 0.6722